1.
Na5PbAu3 | PBE | relaxed

Cell and atoms, written as POSCAR:
```
Na5PbAu3
1.0
-5.1371 6.2202 0.7474
-4.0137 -0.5610 7.0154
4.7913 6.3452 6.0061
Na Pb Au
10 2 6
direct
0.0015 0.3748 0.3732 Na
0.3033 0.6967 0.0000 Na
0.7642 0.7642 0.0698 Na
0.4795 0.4795 0.3368 Na
0.5205 0.5205 0.6632 Na
0.2358 0.2358 0.9302 Na
0.3748 0.0015 0.3732 Na
0.6967 0.3033 0.0000 Na
0.9985 0.6252 0.6268 Na
0.6252 0.9985 0.6268 Na
0.0899 0.0899 0.7135 Pb
0.9101 0.9101 0.2865 Pb
0.6662 0.6662 0.8442 Au
0.6886 0.6886 0.3968 Au
0.0000 0.0000 0.0000 Au
0.0000 0.0000 0.5000 Au
0.3338 0.3338 0.1558 Au
0.3114 0.3114 0.6032 Au
```

Values from the calculation:
ΔE_f: -0.14 eV per atom
symmetry: C2/m, No. 12
crystal system: monoclinic

***

2.
Y2Rh | PBE | relaxed

Cell and atoms, written as POSCAR:
```
Y2Rh
1.0
1.8111 -7.7775 0.0000
1.8111 7.7775 0.0000
0.0000 0.0000 5.1749
Y Rh
4 2
direct
0.5705 0.4295 0.2500 Y
0.4295 0.5705 0.7500 Y
0.2861 0.7139 0.2500 Y
0.7139 0.2861 0.7500 Y
0.9254 0.0746 0.2500 Rh
0.0746 0.9254 0.7500 Rh
```

Values from the calculation:
ΔE_f: -0.55 eV per atom
symmetry: Cmcm, No. 63
crystal system: orthorhombic

***

3.
Nb3IrO | PBE | relaxed

Cell and atoms, written as POSCAR:
```
Nb3IrO
1.0
4.8575 0.0000 0.0000
0.0000 4.8575 0.0000
0.0000 0.0000 4.8575
Nb Ir O
3 1 1
direct
0.0000 0.5000 0.0000 Nb
0.0000 0.0000 0.5000 Nb
0.5000 0.0000 0.0000 Nb
0.0000 0.0000 0.0000 Ir
0.5000 0.5000 0.5000 O
```

Values from the calculation:
symmetry: Pm-3m, No. 221
crystal system: cubic
raw formation energy: 1.38 eV/atom

***

4.
ScGaC3 | PBE | relaxed

Cell and atoms, written as POSCAR:
```
ScGaC3
1.0
-1.9066 -3.5166 -1.5140
1.7209 0.7237 -3.8482
3.4201 -2.3246 1.0923
Sc C Ga
1 3 1
direct
0.0000 0.0000 0.0000 Sc
0.0000 0.5000 0.0000 C
0.0000 0.0000 0.5000 C
0.5000 0.0000 0.0000 C
0.5000 0.5000 0.5000 Ga
```

Values from the calculation:
ΔE_f: 2.32 eV per atom
symmetry: Pm-3m, No. 221
energy above the lowest structure with this stoichiometry: 2.47 eV/f.u.
crystal system: cubic

***

5.
LaCePmTm | PBE | relaxed

Cell and atoms, written as POSCAR:
```
LaCePmTm
1.0
5.7545 0.0000 0.0000
2.8773 4.9836 0.0000
2.8773 1.6612 4.6986
Tm La Ce Pm
1 1 1 1
direct
0.5000 0.5000 0.5000 Tm
0.2500 0.2500 0.2500 La
0.0000 0.0000 0.0000 Ce
0.7500 0.7500 0.7500 Pm
```

Values from the calculation:
ΔE_f: 0.20 eV per atom
symmetry: F-43m, No. 216
crystal system: cubic

***

6.
SrBe2Tc | PBE | relaxed

Cell and atoms, written as POSCAR:
```
SrBe2Tc
1.0
-3.9135 0.4565 3.3967
-4.5767 -1.0506 -2.2386
4.6587 -1.8955 1.3283
Sr Tc Be
1 1 2
direct
0.5003 0.5003 0.0000 Sr
0.1962 0.6962 0.5000 Tc
0.0015 0.0015 0.0000 Be
0.8020 0.3020 0.5000 Be
```

Values from the calculation:
ΔE_f: 0.76 eV per atom
symmetry: Imm2, No. 44
energy above the lowest structure with this stoichiometry: 2.29 eV/f.u.
crystal system: orthorhombic

***

7.
MgRhAu2 | PBE | relaxed

Cell and atoms, written as POSCAR:
```
MgRhAu2
1.0
4.8713 -0.0385 0.0033
1.3546 4.6794 -0.0033
-3.1169 -2.3152 2.9422
Rh Mg Au
1 1 2
direct
0.2500 0.7500 0.5000 Rh
0.7500 0.2500 0.5000 Mg
0.0000 0.0000 0.0000 Au
0.5000 0.5000 0.0000 Au
```

Values from the calculation:
ΔE_f: -0.28 eV per atom
symmetry: I4/mmm, No. 139
crystal system: tetragonal

***

8.
Nd3Ni2Sn3 | PBE | relaxed

Cell and atoms, written as POSCAR:
```
Nd3Ni2Sn3
1.0
4.5306 0.0000 0.0000
-2.2653 5.5615 0.0000
0.0000 0.0000 15.3153
Nd Ni Sn
6 4 6
direct
0.9199 0.8398 0.3901 Nd
0.0801 0.1602 0.8901 Nd
0.9199 0.8398 0.1099 Nd
0.0801 0.1602 0.6099 Nd
0.6368 0.2736 0.2500 Nd
0.3632 0.7264 0.7500 Nd
0.7951 0.5903 0.8960 Ni
0.2049 0.4097 0.3960 Ni
0.7951 0.5903 0.6040 Ni
0.2049 0.4097 0.1040 Ni
0.6342 0.2684 0.4631 Sn
0.3658 0.7316 0.9631 Sn
0.6342 0.2684 0.0369 Sn
0.3658 0.7316 0.5369 Sn
0.3383 0.6766 0.2500 Sn
0.6617 0.3234 0.7500 Sn
```

Values from the calculation:
ΔE_f: -0.66 eV per atom
symmetry: Cmcm, No. 63
energy above the lowest structure with this stoichiometry: 0.00 eV/f.u.
crystal system: orthorhombic